Compound: ZrHgSe
Source: Alexandria
Functional: PBE-GGA
Structure: optimized geometry

The structure in POSCAR format:
```
ZrHgSe
1.0
3.4248 0.0000 0.0000
0.0000 3.4248 0.0000
0.0000 0.0000 11.8926
Zr Hg Se
2 2 2
Direct
0.0000 0.0000 0.0000 Zr
0.5000 0.5000 0.5000 Zr
0.0000 0.0000 0.6738 Hg
0.5000 0.5000 0.1738 Hg
0.0000 0.0000 0.3925 Se
0.5000 0.5000 0.8925 Se
```

Calculated values
Its formation energy (no corrections) is -0.5973 eV per atom. The space group is No. 107. The total energy is -4.71 eV per atom. For the total magnetization, the calculation gives 0.0 μB/cell. The calculation puts the energy above the most stable polymorph in this dataset at 23 meV per atom.

***

Compound: Pm2S3
Source: Alexandria
Functional: PBE-GGA
Structure: optimized geometry

The structure in POSCAR format:
```
Pm2S3
1.0
10.9598 0.0000 0.0000
0.0000 4.0030 0.0000
0.0000 0.0000 10.6712
Pm S
8 12
Direct
0.0091 0.2500 0.1863 Pm
0.1920 0.2500 0.5046 Pm
0.3080 0.7500 0.0046 Pm
0.4909 0.7500 0.6863 Pm
0.5091 0.2500 0.3137 Pm
0.6920 0.2500 0.9954 Pm
0.8080 0.7500 0.4954 Pm
0.9909 0.7500 0.8137 Pm
0.0458 0.7500 0.3735 S
0.1205 0.2500 0.9446 S
0.2292 0.7500 0.6986 S
0.2708 0.2500 0.1986 S
0.3795 0.7500 0.4446 S
0.4542 0.2500 0.8735 S
0.5458 0.7500 0.1265 S
0.6205 0.2500 0.5554 S
0.7292 0.7500 0.8014 S
0.7708 0.2500 0.3014 S
0.8795 0.7500 0.0554 S
0.9542 0.2500 0.6265 S
```

Calculated values
Its formation energy (no corrections) is -2.0742 eV per atom. The space group is No. 62. The total energy is -6.45 eV per atom. For the total magnetization, the calculation gives 0.0 μB/cell. The calculation puts the energy above the most stable polymorph in this dataset at 0 meV per atom.

***

Compound: AsAu5
Source: Alexandria
Functional: PBE-GGA
Structure: optimized geometry

The structure in POSCAR format:
```
AsAu5
1.0
4.2121 0.0000 0.0000
0.0000 12.3238 0.0000
0.0000 0.0000 4.2306
As Au
2 10
Direct
0.0000 0.0000 0.0000 As
0.5000 0.5000 0.0000 As
0.0000 0.1666 0.5000 Au
0.0000 0.3339 0.0000 Au
0.0000 0.5000 0.5000 Au
0.0000 0.6661 0.0000 Au
0.0000 0.8334 0.5000 Au
0.5000 0.0000 0.5000 Au
0.5000 0.1661 0.0000 Au
0.5000 0.3334 0.5000 Au
0.5000 0.6666 0.5000 Au
0.5000 0.8339 0.0000 Au
```

Calculated values
The space group is No. 65. The calculation puts the energy of formation from the pure elements at 10.0 kJ/mol of atoms. The total energy is -3.40 eV per atom. For the total magnetization, the calculation gives 0.0 μB/cell.

***

Compound: Li3Cd8Sn2
Source: Alexandria
Functional: PBE-GGA
Structure: optimized geometry

The structure in POSCAR format:
```
Li3Cd8Sn2
1.0
2.8585 1.6504 10.7741
-2.8585 1.6504 10.7741
0.0000 -3.3007 10.7741
Li Cd Sn
3 8 2
Direct
0.0000 0.0000 0.0000 Li
0.1861 0.1861 0.1861 Li
0.8139 0.8139 0.8139 Li
0.2197 0.7203 0.7203 Cd
0.2720 0.2720 0.2720 Cd
0.2797 0.2797 0.7803 Cd
0.2797 0.7803 0.2797 Cd
0.7203 0.2197 0.7203 Cd
0.7203 0.7203 0.2197 Cd
0.7280 0.7280 0.7280 Cd
0.7803 0.2797 0.2797 Cd
0.3617 0.3617 0.3617 Sn
0.6383 0.6383 0.6383 Sn
```

Calculated values
The space group is No. 166. The calculation puts the energy of formation from the pure elements at -3.4 kJ/mol of atoms. The total energy is -1.66 eV per atom. For the total magnetization, the calculation gives 0.0 μB/cell.

***

Compound: Tb6Tc2Sn
Source: Alexandria
Functional: PBE-GGA
Structure: optimized geometry

The structure in POSCAR format:
```
Tb6Tc2Sn
1.0
-4.7514 4.7985 5.2602
4.7514 -4.7985 5.2602
4.7514 4.7985 -5.2602
Tb Tc Sn
12 4 2
Direct
0.0366 0.2437 0.7929 Tb
0.1866 0.2803 0.4669 Tb
0.1866 0.7197 0.9063 Tb
0.3333 0.0201 0.6868 Tb
0.3333 0.6464 0.3132 Tb
0.4508 0.2437 0.2071 Tb
0.5492 0.7563 0.7929 Tb
0.6667 0.3536 0.6868 Tb
0.6667 0.9799 0.3132 Tb
0.8134 0.2803 0.0937 Tb
0.8134 0.7197 0.5331 Tb
0.9634 0.7563 0.2071 Tb
0.1142 0.6142 0.5000 Tc
0.3260 0.0000 0.3260 Tc
0.6740 0.0000 0.6740 Tc
0.8858 0.3858 0.5000 Tc
0.0000 0.0000 0.0000 Sn
0.5000 0.5000 0.0000 Sn
```

Calculated values
The space group is No. 71. The calculation puts the energy of formation from the pure elements at -24.5 kJ/mol of atoms. The total energy is -6.09 eV per atom. For the total magnetization, the calculation gives 0.0 μB/cell.

***

Compound: SrPmGa2Rh2
Source: Alexandria
Functional: PBE-GGA
Structure: optimized geometry

The structure in POSCAR format:
```
SrPmGa2Rh2
1.0
4.3354 0.0000 0.0000
-2.1677 3.7545 0.0000
0.0000 0.0000 8.3151
Sr Pm Ga Rh
1 1 2 2
Direct
0.0000 0.0000 0.0000 Sr
0.0000 0.0000 0.5000 Pm
0.3333 0.6667 0.2672 Ga
0.6667 0.3333 0.7328 Ga
0.3333 0.6667 0.7132 Rh
0.6667 0.3333 0.2868 Rh
```

Calculated values
The space group is No. 164. The calculation puts the energy of formation from the pure elements at -66.5 kJ/mol of atoms. The total energy is -5.22 eV per atom. For the total magnetization, the calculation gives 0.0 μB/cell.

***

Compound: LaPr6Sc
Source: Alexandria
Functional: PBE-GGA
Structure: optimized geometry

The structure in POSCAR format:
```
LaPr6Sc
1.0
5.1720 0.0000 0.0000
0.0000 5.1720 0.0000
0.0000 0.0000 10.3812
La Pr Sc
1 6 1
Direct
0.0000 0.0000 0.0000 La
0.0000 0.5000 0.2583 Pr
0.0000 0.5000 0.7417 Pr
0.5000 0.0000 0.2583 Pr
0.5000 0.0000 0.7417 Pr
0.5000 0.5000 0.0000 Pr
0.5000 0.5000 0.5000 Pr
0.0000 0.0000 0.5000 Sc
```

Calculated values
The space group is No. 123. The calculation puts the energy of formation from the pure elements at 3.3 kJ/mol of atoms. The total energy is -4.96 eV per atom. For the total magnetization, the calculation gives 0.0 μB/cell. The calculation puts the energy above the most stable polymorph in this dataset at 0 meV per atom.

***

Compound: Tm11Ge10
Source: Alexandria
Functional: PBE-GGA
Structure: optimized geometry

The structure in POSCAR format:
```
Tm11Ge10
1.0
-5.3982 5.3982 8.0674
5.3982 -5.3982 8.0674
5.3982 5.3982 -8.0674
Tm Ge
22 20
Direct
0.0585 0.3103 0.7482 Tm
0.1022 0.4279 0.3257 Tm
0.1022 0.7764 0.6743 Tm
0.1605 0.1605 0.0000 Tm
0.2236 0.8978 0.3257 Tm
0.3103 0.0585 0.7482 Tm
0.3103 0.5621 0.2518 Tm
0.3238 0.3238 0.6476 Tm
0.3238 0.6762 0.0000 Tm
0.4279 0.1022 0.3257 Tm
0.4379 0.6897 0.7482 Tm
0.5621 0.3103 0.2518 Tm
0.5721 0.8978 0.6743 Tm
0.6762 0.3238 0.0000 Tm
0.6762 0.6762 0.3524 Tm
0.6897 0.4379 0.7482 Tm
0.6897 0.9415 0.2518 Tm
0.7764 0.1022 0.6743 Tm
0.8395 0.8395 0.0000 Tm
0.8978 0.2236 0.3257 Tm
0.8978 0.5721 0.6743 Tm
0.9415 0.6897 0.2518 Tm
0.0285 0.0285 0.4178 Ge
0.0285 0.6107 0.0000 Ge
0.1216 0.1216 0.2433 Ge
0.1216 0.8784 0.0000 Ge
0.1418 0.5000 0.6418 Ge
0.2500 0.7500 0.5000 Ge
0.3865 0.3865 0.0000 Ge
0.3893 0.3893 0.4178 Ge
0.3893 0.9715 0.0000 Ge
0.5000 0.1418 0.6418 Ge
0.5000 0.8582 0.3582 Ge
0.6107 0.0285 0.0000 Ge
0.6107 0.6107 0.5822 Ge
0.6135 0.6135 0.0000 Ge
0.7500 0.2500 0.5000 Ge
0.8582 0.5000 0.3582 Ge
0.8784 0.1216 0.0000 Ge
0.8784 0.8784 0.7567 Ge
0.9715 0.3893 0.0000 Ge
0.9715 0.9715 0.5822 Ge
```

Calculated values
The space group is No. 139. The calculation puts the energy of formation from the pure elements at -80.5 kJ/mol of atoms. The total energy is -5.38 eV per atom. For the total magnetization, the calculation gives 0.0 μB/cell.

***

Compound: CaAg8Au6
Source: Alexandria
Functional: PBE-GGA
Structure: optimized geometry

The structure in POSCAR format:
```
CaAg8Au6
1.0
3.9676 2.2907 5.5757
-3.9676 2.2907 5.5757
0.0000 -4.5814 5.5757
Ca Ag Au
1 8 6
Direct
0.0000 0.0000 0.0000 Ca
0.1334 0.8116 0.4437 Ag
0.1884 0.5563 0.8666 Ag
0.2536 0.2536 0.2536 Ag
0.4437 0.1334 0.8116 Ag
0.5563 0.8666 0.1884 Ag
0.7464 0.7464 0.7464 Ag
0.8116 0.4437 0.1334 Ag
0.8666 0.1884 0.5563 Ag
0.0947 0.3689 0.6570 Au
0.3430 0.9053 0.6311 Au
0.3689 0.6570 0.0947 Au
0.6311 0.3430 0.9053 Au
0.6570 0.0947 0.3689 Au
0.9053 0.6311 0.3430 Au
```

Calculated values
The space group is No. 148. The calculation puts the energy of formation from the pure elements at -4.2 kJ/mol of atoms. The total energy is -3.01 eV per atom. For the total magnetization, the calculation gives 0.0 μB/cell.

***

Question: Which formula does entry 4 have?
Answer: Li3Cd8Sn2

***

Repeat the ninth record exactly.
Compound: CaAg8Au6
Source: Alexandria
Functional: PBE-GGA
Structure: optimized geometry

The structure in POSCAR format:
```
CaAg8Au6
1.0
3.9676 2.2907 5.5757
-3.9676 2.2907 5.5757
0.0000 -4.5814 5.5757
Ca Ag Au
1 8 6
Direct
0.0000 0.0000 0.0000 Ca
0.1334 0.8116 0.4437 Ag
0.1884 0.5563 0.8666 Ag
0.2536 0.2536 0.2536 Ag
0.4437 0.1334 0.8116 Ag
0.5563 0.8666 0.1884 Ag
0.7464 0.7464 0.7464 Ag
0.8116 0.4437 0.1334 Ag
0.8666 0.1884 0.5563 Ag
0.0947 0.3689 0.6570 Au
0.3430 0.9053 0.6311 Au
0.3689 0.6570 0.0947 Au
0.6311 0.3430 0.9053 Au
0.6570 0.0947 0.3689 Au
0.9053 0.6311 0.3430 Au
```

Calculated values
The space group is No. 148. The calculation puts the energy of formation from the pure elements at -4.2 kJ/mol of atoms. The total energy is -3.01 eV per atom. For the total magnetization, the calculation gives 0.0 μB/cell.